Record 1
Entry from the Alexandria database: a geometry-optimized BeCrCoP structure (GGA-PBE).

Structure (CIF):
```
data_BeCrCoP
_symmetry_space_group_name_H-M 'P 1'
_symmetry_Int_Tables_number 1
_cell_length_a 3.443
_cell_length_b 2.985
_cell_length_c 8.099
_cell_angle_alpha 90.00
_cell_angle_beta 90.00
_cell_angle_gamma 90.00
loop_
_symmetry_equiv_pos_as_xyz
'x,y,z'
loop_
_atom_site_label
_atom_site_type_symbol
_atom_site_fract_x
_atom_site_fract_y
_atom_site_fract_z
Be1 Be 0.000 0.000 0.000
Be2 Be 0.000 0.500 0.500
Cr1 Cr 0.000 0.000 0.727
Cr2 Cr 0.000 0.500 0.227
Co1 Co 0.500 0.000 0.452
Co2 Co 0.500 0.500 0.952
P1 P 0.500 0.000 0.165
P2 P 0.500 0.500 0.665
```

Properties
Energy of formation from the pure elements ... -0.28 eV/atom
Electronic total energy ... -6.744 eV/atom
Total moment ... 1.2 μB per formula unit
SG ... No. 38

Record 2
Entry from the Alexandria database: a geometry-optimized BeCrCoP structure (GGA-PBE).

Structure (CIF):
```
data_BeCrCoP
_symmetry_space_group_name_H-M 'P 1'
_symmetry_Int_Tables_number 1
_cell_length_a 2.864
_cell_length_b 2.864
_cell_length_c 5.018
_cell_angle_alpha 90.00
_cell_angle_beta 90.00
_cell_angle_gamma 90.00
loop_
_symmetry_equiv_pos_as_xyz
'x,y,z'
loop_
_atom_site_label
_atom_site_type_symbol
_atom_site_fract_x
_atom_site_fract_y
_atom_site_fract_z
Be1 Be 0.000 0.000 0.000
Cr1 Cr 0.000 0.000 0.488
Co1 Co 0.500 0.500 0.799
P1 P 0.500 0.500 0.254
```

Properties
Energy of formation from the pure elements ... -0.26 eV/atom
Electronic total energy ... -6.722 eV/atom
Total moment ... 0.8 μB per formula unit
SG ... No. 99

Record 3
Entry from the Alexandria database: a geometry-optimized BeCrCoP structure (GGA-PBE).

Structure (CIF):
```
data_BeCrCoP
_symmetry_space_group_name_H-M 'P 1'
_symmetry_Int_Tables_number 1
_cell_length_a 3.779
_cell_length_b 2.602
_cell_length_c 4.388
_cell_angle_alpha 90.00
_cell_angle_beta 105.39
_cell_angle_gamma 90.00
loop_
_symmetry_equiv_pos_as_xyz
'x,y,z'
loop_
_atom_site_label
_atom_site_type_symbol
_atom_site_fract_x
_atom_site_fract_y
_atom_site_fract_z
Be1 Be 0.000 0.000 0.000
Cr1 Cr 0.135 0.000 0.522
Co1 Co 0.529 0.500 0.089
P1 P 0.664 0.500 0.617
```

Properties
Energy of formation from the pure elements ... -0.18 eV/atom
Electronic total energy ... -6.648 eV/atom
Total moment ... 0.0 μB per formula unit
SG ... No. 6

Record 4
Entry from the Alexandria database: a geometry-optimized BeCrCoP structure (GGA-PBE).

Structure (CIF):
```
data_BeCrCoP
_symmetry_space_group_name_H-M 'P 1'
_symmetry_Int_Tables_number 1
_cell_length_a 2.676
_cell_length_b 3.657
_cell_length_c 8.614
_cell_angle_alpha 90.00
_cell_angle_beta 90.00
_cell_angle_gamma 90.00
loop_
_symmetry_equiv_pos_as_xyz
'x,y,z'
loop_
_atom_site_label
_atom_site_type_symbol
_atom_site_fract_x
_atom_site_fract_y
_atom_site_fract_z
Be1 Be 0.000 0.000 0.000
Be2 Be 0.500 0.500 0.500
Cr1 Cr 0.000 0.500 0.785
Cr2 Cr 0.500 0.000 0.285
Co1 Co 0.000 0.000 0.536
Co2 Co 0.500 0.500 0.036
P1 P 0.000 0.500 0.243
P2 P 0.500 0.000 0.743
```

Properties
Energy of formation from the pure elements ... -0.20 eV/atom
Electronic total energy ... -6.671 eV/atom
Total moment ... 0.0 μB per formula unit
SG ... No. 44

Record 5
Entry from the Alexandria database: a geometry-optimized BeCrCoP structure (GGA-PBE).

Structure (CIF):
```
data_BeCrCoP
_symmetry_space_group_name_H-M 'P 1'
_symmetry_Int_Tables_number 1
_cell_length_a 8.369
_cell_length_b 2.593
_cell_length_c 4.571
_cell_angle_alpha 90.00
_cell_angle_beta 122.31
_cell_angle_gamma 90.00
loop_
_symmetry_equiv_pos_as_xyz
'x,y,z'
loop_
_atom_site_label
_atom_site_type_symbol
_atom_site_fract_x
_atom_site_fract_y
_atom_site_fract_z
Be1 Be 0.000 0.000 0.000
Be2 Be 0.500 0.500 0.000
Cr1 Cr 0.219 0.500 0.483
Cr2 Cr 0.719 0.000 0.483
Co1 Co 0.292 0.000 0.066
Co2 Co 0.792 0.500 0.066
P1 P 0.005 0.000 0.528
P2 P 0.505 0.500 0.528
```

Properties
Energy of formation from the pure elements ... -0.27 eV/atom
Electronic total energy ... -6.732 eV/atom
Total moment ... 0.0 μB per formula unit
SG ... No. 8

Record 6
Entry from the Alexandria database: a geometry-optimized BeCrCoP structure (GGA-PBE).

Structure (CIF):
```
data_BeCrCoP
_symmetry_space_group_name_H-M 'P 1'
_symmetry_Int_Tables_number 1
_cell_length_a 3.201
_cell_length_b 2.736
_cell_length_c 9.656
_cell_angle_alpha 90.00
_cell_angle_beta 90.00
_cell_angle_gamma 90.00
loop_
_symmetry_equiv_pos_as_xyz
'x,y,z'
loop_
_atom_site_label
_atom_site_type_symbol
_atom_site_fract_x
_atom_site_fract_y
_atom_site_fract_z
Be1 Be 0.000 0.000 0.000
Be2 Be 0.000 0.500 0.500
Cr1 Cr 0.500 0.000 0.645
Cr2 Cr 0.500 0.500 0.145
Co1 Co 0.500 0.000 0.391
Co2 Co 0.500 0.500 0.891
P1 P 0.000 0.000 0.241
P2 P 0.000 0.500 0.741
```

Properties
Energy of formation from the pure elements ... -0.30 eV/atom
Electronic total energy ... -6.763 eV/atom
Total moment ... 0.0 μB per formula unit
SG ... No. 38

Record 7
Entry from the Alexandria database: a geometry-optimized BeCrCoP structure (GGA-PBE).

Structure (CIF):
```
data_BeCrCoP
_symmetry_space_group_name_H-M 'P 1'
_symmetry_Int_Tables_number 1
_cell_length_a 8.154
_cell_length_b 2.614
_cell_length_c 4.002
_cell_angle_alpha 90.00
_cell_angle_beta 106.91
_cell_angle_gamma 90.00
loop_
_symmetry_equiv_pos_as_xyz
'x,y,z'
loop_
_atom_site_label
_atom_site_type_symbol
_atom_site_fract_x
_atom_site_fract_y
_atom_site_fract_z
Be1 Be 0.000 0.000 0.000
Be2 Be 0.500 0.500 0.000
Cr1 Cr 0.006 0.500 0.509
Cr2 Cr 0.506 0.000 0.509
Co1 Co 0.245 0.500 0.132
Co2 Co 0.745 0.000 0.132
P1 P 0.256 0.000 0.660
P2 P 0.756 0.500 0.660
```

Properties
Energy of formation from the pure elements ... -0.21 eV/atom
Electronic total energy ... -6.673 eV/atom
Total moment ... 0.0 μB per formula unit
SG ... No. 8

Record 8
Entry from the Alexandria database: a geometry-optimized BeCrCoP structure (GGA-PBE).

Structure (CIF):
```
data_BeCrCoP
_symmetry_space_group_name_H-M 'P 1'
_symmetry_Int_Tables_number 1
_cell_length_a 5.412
_cell_length_b 5.412
_cell_length_c 5.412
_cell_angle_alpha 90.00
_cell_angle_beta 90.00
_cell_angle_gamma 90.00
loop_
_symmetry_equiv_pos_as_xyz
'x,y,z'
loop_
_atom_site_label
_atom_site_type_symbol
_atom_site_fract_x
_atom_site_fract_y
_atom_site_fract_z
Be1 Be 0.000 0.000 0.000
Be2 Be 0.000 0.500 0.500
Be3 Be 0.500 0.000 0.500
Be4 Be 0.500 0.500 0.000
Cr1 Cr 0.250 0.250 0.250
Cr2 Cr 0.250 0.750 0.750
Cr3 Cr 0.750 0.250 0.750
Cr4 Cr 0.750 0.750 0.250
Co1 Co 0.250 0.250 0.750
Co2 Co 0.250 0.750 0.250
Co3 Co 0.750 0.250 0.250
Co4 Co 0.750 0.750 0.750
P1 P 0.000 0.000 0.500
P2 P 0.000 0.500 0.000
P3 P 0.500 0.000 0.000
P4 P 0.500 0.500 0.500
```

Properties
Energy of formation from the pure elements ... -0.25 eV/atom
Electronic total energy ... -6.713 eV/atom
Total moment ... 1.3 μB per formula unit
SG ... No. 216